a) Below is a relaxed BaGdAsO crystal, with properties calculated at the PBE-GGA level.

The space group is Pmc2_1 (No. 26) and the conventional cell measures 4.745, 7.666 and 6.724 Å, with angles of 90.00, 90.00 and 90.00 degrees. Symmetry generates all atoms from Ba at (0.000, 0.199, 0.000), Gd at (0.500, 0.392, 0.598), As at (0.000, 0.228, 0.483) and O at (0.500, 0.365, 0.926).



b) Below is a relaxed BaGdAsO crystal, with properties calculated at the PBE-GGA level.

The space group is P4/nmm (No. 129, origin choice 2) and the conventional cell measures 4.955, 4.955 and 9.901 Å, with angles of 90.00, 90.00 and 90.00 degrees. Symmetry generates all atoms from Ba at (0.250, 0.250, 0.091), Gd at (0.250, 0.750, 0.500), As at (0.250, 0.250, 0.640) and O at (0.250, 0.750, 0.000).



Going by the energies, a) is most stable and the next is 51.8 kJ/mol of atoms up.



a) Below is a relaxed BaGdAsO crystal, with properties calculated at the PBE-GGA level.

The space group is P4/nmm (No. 129, origin choice 2) and the conventional cell measures 4.487, 4.487 and 9.584 Å, with angles of 90.00, 90.00 and 90.00 degrees. Symmetry generates all atoms from Ba at (0.250, 0.750, 0.000), Gd at (0.250, 0.250, 0.418), As at (0.250, 0.250, 0.766) and O at (0.250, 0.750, 0.500).



b) Below is a relaxed BaGdAsO crystal, with properties calculated at the PBE-GGA level.

The space group is Pmc2_1 (No. 26) and the conventional cell measures 4.098, 7.069 and 7.623 Å, with angles of 90.00, 90.00 and 90.00 degrees. Symmetry generates all atoms from Ba at (0.000, 0.059, 0.000), Gd at (0.500, 0.380, 0.353), As at (0.500, 0.250, 0.712) and O at (0.000, 0.265, 0.288).



Going by the energies, b) is most stable and the next is 29.0 kJ/mol of atoms up.



a) Below is a relaxed BaHfAs crystal, with properties calculated at the PBE-GGA level.

The space group is F-43m (No. 216) and the conventional cell measures 7.039, 7.039 and 7.039 Å, with angles of 90.00, 90.00 and 90.00 degrees. Symmetry generates all atoms from Ba at (0.000, 0.000, 0.000), Hf at (0.000, 0.000, 0.500) and As at (0.250, 0.250, 0.250).



b) Below is a relaxed BaHfAs crystal, with properties calculated at the PBE-GGA level.

The space group is F-43m (No. 216) and the conventional cell measures 7.425, 7.425 and 7.425 Å, with angles of 90.00, 90.00 and 90.00 degrees. Symmetry generates all atoms from Ba at (0.000, 0.000, 0.000), Hf at (0.250, 0.250, 0.250) and As at (0.250, 0.250, 0.750).



Going by the energies, a) is most stable and the next is 90.5 kJ/mol of atoms up.



a) Below is a relaxed BaHgAs crystal, with properties calculated at the PBE-GGA level.

The space group is F-43m (No. 216) and the conventional cell measures 7.490, 7.490 and 7.490 Å, with angles of 90.00, 90.00 and 90.00 degrees. Symmetry generates all atoms from Ba at (0.000, 0.000, 0.000), Hg at (0.000, 0.000, 0.500) and As at (0.250, 0.250, 0.250).



b) Below is a relaxed BaHgAs crystal, with properties calculated at the PBE-GGA level.

The space group is F-43m (No. 216) and the conventional cell measures 7.655, 7.655 and 7.655 Å, with angles of 90.00, 90.00 and 90.00 degrees. Symmetry generates all atoms from Ba at (0.000, 0.000, 0.000), Hg at (0.250, 0.250, 0.750) and As at (0.250, 0.250, 0.250).



Going by the energies, a) is most stable and the next is 26.8 kJ/mol of atoms up.



a) Below is a relaxed BaHgAsO crystal, with properties calculated at the PBE-GGA level.

The space group is P4/nmm (No. 129, origin choice 2) and the conventional cell measures 6.676, 6.676 and 4.983 Å, with angles of 90.00, 90.00 and 90.00 degrees. Symmetry generates all atoms from Ba at (0.250, 0.750, 0.000), Hg at (0.250, 0.250, 0.494), As at (0.250, 0.250, 0.994) and O at (0.250, 0.750, 0.500).



b) Below is a relaxed BaHgAsO crystal, with properties calculated at the PBE-GGA level.

The space group is Pmc2_1 (No. 26) and the conventional cell measures 3.766, 6.391 and 8.302 Å, with angles of 90.00, 90.00 and 90.00 degrees. Symmetry generates all atoms from Ba at (0.000, 0.157, 0.000), Hg at (0.500, 0.352, 0.357), As at (0.500, 0.316, 0.672) and O at (0.000, 0.137, 0.301).



c) Below is a relaxed BaHgAsO crystal, with properties calculated at the PBE-GGA level.

The space group is P4/nmm (No. 129, origin choice 2) and the conventional cell measures 4.513, 4.513 and 9.989 Å, with angles of 90.00, 90.00 and 90.00 degrees. Symmetry generates all atoms from Ba at (0.250, 0.250, 0.121), Hg at (0.250, 0.750, 0.500), As at (0.250, 0.250, 0.666) and O at (0.250, 0.750, 0.000).



d) Below is a relaxed BaHgAsO crystal, with properties calculated at the PBE-GGA level.

The space group is Pmc2_1 (No. 26) and the conventional cell measures 3.986, 7.862 and 6.239 Å, with angles of 90.00, 90.00 and 90.00 degrees. Symmetry generates all atoms from Ba at (0.000, 0.123, 0.000), Hg at (0.500, 0.285, 0.481), As at (0.000, 0.470, 0.632) and O at (0.500, 0.049, 0.278).



Going by the energies, d) is most stable and the next is 6.3 kJ/mol of atoms up.



a) Below is a relaxed BaAsIrO crystal, with properties calculated at the PBE-GGA level.

The space group is P4/nmm (No. 129, origin choice 2) and the conventional cell measures 4.165, 4.165 and 10.258 Å, with angles of 90.00, 90.00 and 90.00 degrees. Symmetry generates all atoms from Ba at (0.250, 0.250, 0.134), As at (0.250, 0.250, 0.631), Ir at (0.250, 0.750, 0.500) and O at (0.250, 0.750, 0.000).



b) Below is a relaxed BaAsIrO crystal, with properties calculated at the PBE-GGA level.

The space group is Pmc2_1 (No. 26) and the conventional cell measures 3.995, 5.152 and 7.998 Å, with angles of 90.00, 90.00 and 90.00 degrees. Symmetry generates all atoms from Ba at (0.000, 0.189, 0.000), As at (0.500, 0.302, 0.658), Ir at (0.500, 0.335, 0.353) and O at (0.000, 0.252, 0.329).



Going by the energies, a) is most stable and the next is 31.9 kJ/mol of atoms up.



a) Below is a relaxed BaAsIrO crystal, with properties calculated at the PBE-GGA level.

The space group is Pmc2_1 (No. 26) and the conventional cell measures 4.034, 7.208 and 6.272 Å, with angles of 90.00, 90.00 and 90.00 degrees. Symmetry generates all atoms from Ba at (0.000, 0.157, 0.000), As at (0.000, 0.348, 0.465), Ir at (0.500, 0.487, 0.638) and O at (0.500, 0.314, 0.891).



b) Below is a relaxed BaAsIrO crystal, with properties calculated at the PBE-GGA level.

The space group is P4/nmm (No. 129, origin choice 2) and the conventional cell measures 4.444, 4.444 and 7.577 Å, with angles of 90.00, 90.00 and 90.00 degrees. Symmetry generates all atoms from Ba at (0.250, 0.750, 0.000), As at (0.250, 0.250, 0.316), Ir at (0.250, 0.250, 0.629) and O at (0.250, 0.750, 0.500).



Going by the energies, a) is most stable and the next is 117.6 kJ/mol of atoms up.



a) Below is a relaxed BaLiAsPd crystal, with properties calculated at the PBE-GGA level.

The space group is F-43m (No. 216) and the conventional cell measures 7.099, 7.099 and 7.099 Å, with angles of 90.00, 90.00 and 90.00 degrees. Symmetry generates all atoms from Ba at (0.000, 0.000, 0.000), Li at (0.250, 0.250, 0.250), As at (0.250, 0.250, 0.750) and Pd at (0.000, 0.000, 0.500).



b) Below is a relaxed BaLiAsPd crystal, with properties calculated at the PBE-GGA level.

The space group is F-43m (No. 216) and the conventional cell measures 7.030, 7.030 and 7.030 Å, with angles of 90.00, 90.00 and 90.00 degrees. Symmetry generates all atoms from Ba at (0.000, 0.000, 0.000), Li at (0.250, 0.250, 0.250), As at (0.000, 0.000, 0.500) and Pd at (0.250, 0.250, 0.750).



c) Below is a relaxed BaLiAsPd crystal, with properties calculated at the PBE-GGA level.

The space group is F-43m (No. 216) and the conventional cell measures 7.326, 7.326 and 7.326 Å, with angles of 90.00, 90.00 and 90.00 degrees. Symmetry generates all atoms from Ba at (0.000, 0.000, 0.000), Li at (0.000, 0.000, 0.500), As at (0.250, 0.250, 0.250) and Pd at (0.250, 0.250, 0.750).



Going by the energies, b) is most stable and the next is 4.7 kJ/mol of atoms up.